TbNdTlRh (PBE-GGA, optimized geometry); crystal system = cubic; offset from the most stable computed form = 127 meV/atom; size of the total moment = 0.0 μB per cell; VASP energy = -5.21 eV/atom
1.0
7.371 0.000 0.000
0.000 7.371 0.000
0.000 0.000 7.371
Tb Nd Tl Rh
4 4 4 4
direct
0.000 0.000 0.000 Tb
0.000 0.500 0.500 Tb
0.500 0.000 0.500 Tb
0.500 0.500 0.000 Tb
0.000 0.000 0.500 Nd
0.000 0.500 0.000 Nd
0.500 0.000 0.000 Nd
0.500 0.500 0.500 Nd
0.250 0.250 0.750 Tl
0.250 0.750 0.250 Tl
0.750 0.250 0.250 Tl
0.750 0.750 0.750 Tl
0.250 0.250 0.250 Rh
0.250 0.750 0.750 Rh
0.750 0.250 0.750 Rh
0.750 0.750 0.250 Rh